! RbTlCl2, relaxed, DFT PBE; values from VASP
! theoretical density = 4.16 g/cm3
! offset from the most stable computed form = 0 meV/atom
! energy relative to the elements, uncorrected = -1.48 eV/atom
! space-group type = No. 227
&SYSTEM
  ibrav = 0, nat = 16, ntyp = 3
/
ATOMIC_SPECIES
Rb 85.47 Rb.upf
Tl 204.38 Tl.upf
Cl 35.45 Cl.upf
ATOMIC_POSITIONS crystal
Rb 0.625 0.125 0.125
Rb 0.125 0.625 0.125
Rb 0.125 0.125 0.625
Rb 0.125 0.125 0.125
Tl 0.125 0.625 0.625
Tl 0.625 0.125 0.625
Tl 0.625 0.625 0.125
Tl 0.625 0.625 0.625
Cl 0.874 0.874 0.874
Cl 0.874 0.874 0.379
Cl 0.871 0.376 0.376
Cl 0.376 0.376 0.376
Cl 0.376 0.871 0.376
Cl 0.376 0.376 0.871
Cl 0.379 0.874 0.874
Cl 0.874 0.379 0.874
CELL_PARAMETERS angstrom
0.000 6.602 6.602
6.602 0.000 6.602
6.602 6.602 0.000